1.
Crystalline Zn2Si at its relaxed geometry. Source: Alexandria via LeMat-Bulk, functional PBE.

Output
The calculated density comes out at 5.38 g/cm³. For the energy, the calculation gives -2.4001 eV/atom. As for the magnetic moment: 0.00 μB/f.u.

Cell: 2.606 2.606 8.343 Å, 90.00 90.00 120.00°
Positions (direct):
Zn (0.000, 0.000, 0.817)
Zn (0.000, 0.000, 0.183)
Si (0.334, 0.666, 0.500)

---

2.
Crystalline ZnSi3 at its relaxed geometry. Source: Alexandria via LeMat-Bulk, functional PBE.

Output
The calculated density comes out at 3.68 g/cm³. The value obtained for the polymorph energy (0 for the lowest one) is 0.000 eV per atom. As for the magnetic moment: 0.00 μB/f.u.

Cell: 5.951 5.951 4.498 Å, 90.00 90.00 122.02°
Positions (direct):
Si (0.045, 0.955, 0.750)
Si (0.955, 0.045, 0.250)
Si (0.082, 0.498, 0.250)
Si (0.918, 0.502, 0.750)
Si (0.498, 0.082, 0.750)
Si (0.502, 0.918, 0.250)
Zn (0.430, 0.570, 0.750)
Zn (0.570, 0.430, 0.250)

---

3.
Crystalline ZnSi2 at its relaxed geometry. Source: Alexandria via LeMat-Bulk, functional PBE.

Output
The calculated density comes out at 3.86 g/cm³. For the energy, the calculation gives -3.5421 eV/atom. As for the magnetic moment: 0.00 μB/f.u.

Cell: 5.934 5.934 5.934 Å, 90.00 90.00 90.00°
Positions (direct):
Zn (0.000, 0.500, 0.500)
Zn (0.000, 0.000, 0.000)
Zn (0.500, 0.000, 0.500)
Zn (0.500, 0.500, 0.000)
Si (0.884, 0.116, 0.384)
Si (0.116, 0.884, 0.616)
Si (0.116, 0.616, 0.116)
Si (0.616, 0.884, 0.884)
Si (0.884, 0.384, 0.884)
Si (0.384, 0.384, 0.616)
Si (0.384, 0.116, 0.116)
Si (0.616, 0.616, 0.384)

---

4.
Crystalline ZnSi at its relaxed geometry. Source: Alexandria via LeMat-Bulk, functional PBE.

Output
The calculated density comes out at 4.87 g/cm³. For the energy, the calculation gives -2.9066 eV/atom. As for the magnetic moment: 0.00 μB/f.u.

Cell: 3.171 3.171 3.171 Å, 90.00 90.00 90.00°
Positions (direct):
Si (0.000, 0.000, 0.000)
Zn (0.500, 0.500, 0.500)

---

5.
Crystalline ZnSi at its relaxed geometry. Source: Alexandria via LeMat-Bulk, functional PBE.

Output
The calculated density comes out at 4.24 g/cm³. For the energy, the calculation gives -3.1430 eV/atom. As for the magnetic moment: 0.00 μB/f.u.

Cell: 3.658 4.370 5.339 Å, 107.65 91.19 114.12°
Positions (direct):
Zn (0.636, 0.775, 0.343)
Zn (0.364, 0.225, 0.657)
Si (0.317, 0.131, 0.143)
Si (0.683, 0.869, 0.857)

---

6.
Crystalline ZnSi2 at its relaxed geometry. Source: Alexandria via LeMat-Bulk, functional PBE.

Output
The calculated density comes out at 4.18 g/cm³. For the energy, the calculation gives -3.5563 eV/atom. As for the magnetic moment: 0.00 μB/f.u.

Cell: 6.726 6.726 3.702 Å, 90.00 90.00 120.00°
Positions (direct):
Zn (0.333, 0.667, 0.000)
Zn (0.000, 0.000, 0.500)
Zn (0.667, 0.333, 0.000)
Si (0.394, 0.394, 0.500)
Si (0.606, 0.000, 0.500)
Si (0.727, 0.727, 0.000)
Si (0.000, 0.606, 0.500)
Si (0.273, 0.000, 0.000)
Si (0.000, 0.273, 0.000)